The following is a PBE-GGA calculation of crystalline La8SbAs3I4 at its relaxed geometry, from Alexandria.

The space group is R-3m (No. 166, hexagonal axes) and the conventional cell measures 8.9635, 8.9635 and 22.9630 Å, with angles of 90.00, 90.00 and 120.00 degrees. Symmetry generates all atoms from La at (0.0000, 0.0000, 0.2334), La at (0.0169, 0.5085, 0.7642), Sb at (0.0000, 0.0000, 0.5000), As at (0.0000, 0.5000, 0.5000), I at (0.0000, 0.0000, 0.0000) and I at (0.0000, 0.5000, 0.0000).

Its raw formation energy is -2086 kJ/mol of formula units. As for the raw total energy: -5.33 eV per atom.



The following is a PBE-GGA calculation of crystalline BeP2RuCl at its relaxed geometry, from Alexandria.

The space group is P4/mmm (No. 123) and the conventional cell measures 4.504, 4.504 and 5.055 Å, with angles of 90.00, 90.00 and 90.00 degrees. Symmetry generates all atoms from Be at (0.000, 0.000, 0.000), P at (0.000, 0.500, 0.500), Ru at (0.500, 0.500, 0.500) and Cl at (0.500, 0.500, 0.000).

Its raw formation energy is 380 kJ/mol of formula units. As for the raw total energy: -4.35 eV per atom. As for the relative energy among the computed polymorphs: 0.000 eV per atom.



The following is a PBE-GGA calculation of crystalline KSm3Ho2Te6 at its relaxed geometry, from Alexandria.

The space group is C2/m (No. 12) and the conventional cell measures 19.495, 4.415 and 9.045 Å, with angles of 90.00, 103.66 and 90.00 degrees. Symmetry generates all atoms from K at (0.000, 0.000, 0.000), Sm at (0.000, 0.000, 0.500), Sm at (0.158, 0.500, 0.817), Ho at (0.167, 0.500, 0.340), Te at (0.006, 0.500, 0.262), Te at (0.169, 0.000, 0.577) and Te at (0.175, 0.000, 0.091).

Its raw formation energy is -1530 kJ/mol of formula units. As for the raw total energy: -4.93 eV per atom.



The following is a PBE-GGA calculation of crystalline KNa9Sr2 at its relaxed geometry, from Alexandria.

The space group is R-3m (No. 166, hexagonal axes) and the conventional cell measures 7.1535, 7.1535 and 35.1511 Å, with angles of 90.00, 90.00 and 120.00 degrees. Symmetry generates all atoms from K at (0.0000, 0.0000, 0.0000), Na at (0.0000, 0.0000, 0.3340), Na at (0.0000, 0.0000, 0.5000), Na at (0.0051, 0.5026, 0.9143) and Sr at (0.0000, 0.0000, 0.1452).

As for the raw total energy: -1.34 eV per atom. For the energy relative to the elements, the calculation gives 0.022 eV per atom.



The following is a PBE-GGA calculation of crystalline ZrBCl2 at its relaxed geometry, from Alexandria.

The space group is I-42d (No. 122) and the conventional cell measures 7.211, 7.211 and 5.854 Å, with angles of 90.00, 90.00 and 90.00 degrees. Symmetry generates all atoms from Zr at (0.000, 0.000, 0.000), B at (0.000, 0.000, 0.500) and Cl at (0.237, 0.250, 0.125).

Its raw formation energy is 139 kJ/mol of formula units. As for the raw total energy: -4.37 eV per atom. As for the relative energy among the computed polymorphs: 0.274 eV per atom.



The following is a PBE-GGA calculation of crystalline Cd3P at its relaxed geometry, from Alexandria.

The space group is Pmmn (No. 59, origin choice 2) and the conventional cell measures 4.055, 7.956 and 5.557 Å, with angles of 90.00, 90.00 and 90.00 degrees. Symmetry generates all atoms from Cd at (0.250, 0.045, 0.226), Cd at (0.250, 0.250, 0.796) and P at (0.250, 0.750, 0.523).

As for the raw total energy: -1.95 eV per atom. For the energy relative to the elements, the calculation gives 0.090 eV per atom. As for the relative energy among the computed polymorphs: 0.000 eV per atom.